1:
Material: ScMoPb2
Method: DFT, PBE-GGA
State: optimized geometry

Computed properties:
N(E_F) (states/eV/f.u.): 3.068
Total magnetization (μB/cell): 0.00
Crystal system: monoclinic
Density (g cm⁻³): 10.060

a = 4.718 Å, b = 3.419 Å, c = 5.969 Å
α = 72.18°, β = 90.00°, γ = 90.00°
Fractional coordinates of all 4 atoms:
Pb: 0.500 0.254 0.291
Pb: 0.000 0.966 0.955
Mo: 0.500 0.683 0.753
Sc: 0.000 0.597 0.501

2:
Material: ScMoPb2
Method: DFT, PBE-GGA
State: optimized geometry

Computed properties:
N(E_F) (states/eV/f.u.): 2.702
Total magnetization (μB/cell): 0.00
Crystal system: orthorhombic
Density (g cm⁻³): 10.347

a = 5.507 Å, b = 5.507 Å, c = 5.507 Å
α = 139.23°, β = 123.52°, γ = 71.97°
Fractional coordinates of all 4 atoms:
Pb: 0.494 0.494 0.000
Sc: 0.750 0.250 0.500
Pb: 0.006 0.006 0.000
Mo: 0.250 0.750 0.500

Least stable of them? 1.

1:
Material: ScMoPb2
Method: DFT, PBE-GGA
State: optimized geometry

Computed properties:
N(E_F) (states/eV/f.u.): 2.844
Total magnetization (μB/cell): 0.00
Crystal system: orthorhombic
Density (g cm⁻³): 10.563

a = 4.875 Å, b = 4.875 Å, c = 3.713 Å
α = 90.00°, β = 90.00°, γ = 98.47°
Fractional coordinates of all 4 atoms:
Sc: 0.500 0.000 0.500
Pb: 0.500 0.500 0.000
Pb: 0.000 0.000 0.000
Mo: 0.000 0.500 0.500

2:
Material: ScMoPb2
Method: DFT, PBE-GGA
State: optimized geometry

Computed properties:
N(E_F) (states/eV/f.u.): 3.438
Total magnetization (μB/cell): 0.00
Crystal system: trigonal
Density (g cm⁻³): 10.144

a = 9.554 Å, b = 9.554 Å, c = 9.554 Å
α = 20.19°, β = 20.19°, γ = 20.19°
Fractional coordinates of all 4 atoms:
Pb: 0.007 0.007 0.007
Mo: 0.750 0.750 0.750
Sc: 0.250 0.250 0.250
Pb: 0.493 0.493 0.493

Least stable of them? 2.